[1]
SCAN TlIn5S7, PBEsol geometry; uncorrected formation energy = -666 meV/atom
1.0
-3.036 -2.053 -1.242
-0.345 -4.297 7.946
-10.282 13.549 2.742
In S Tl
10 14 2
Cartesian
-10.629 11.799 3.468 In
-7.820 4.941 1.907 In
-5.844 2.258 7.540 In
-7.142 5.400 5.521 In
-10.815 6.468 6.705 In
-11.523 8.534 5.022 In
-6.521 1.799 3.926 In
-2.140 -1.335 4.424 In
-2.849 0.731 2.742 In
-3.035 -4.600 5.979 In
-4.514 1.526 5.498 S
-1.710 0.481 0.371 S
-5.184 1.099 1.814 S
-6.839 7.329 1.592 S
-4.278 -2.403 5.387 S
-2.500 -2.861 1.796 S
-7.976 2.787 5.850 S
-5.687 4.412 3.597 S
-6.824 -0.130 7.855 S
-9.150 5.674 3.949 S
-11.164 10.060 7.651 S
-11.953 6.718 9.075 S
-9.386 9.603 4.060 S
-8.480 6.101 7.633 S
-9.776 8.162 1.366 Tl
-3.888 -0.962 8.081 Tl


[2]
SCAN ZrCoSe2, PBEsol geometry; energy relative to the lowest polymorph listed for this composition = 0.000 eV per atom; uncorrected formation energy = -374 meV/atom
1.0
4.525 0.000 0.000
2.263 3.919 0.000
2.263 1.306 3.695
Se Co Zr
2 1 1
Cartesian
2.263 1.306 0.924 Se
6.788 3.919 2.771 Se
4.525 2.613 1.847 Co
0.000 0.000 0.000 Zr


[3]
SCAN LaSb2As2, PBEsol geometry; uncorrected formation energy = -156 meV/atom
1.0
4.154 0.000 0.000
0.000 4.154 0.000
-2.077 -2.077 7.534
As La Sb
2 1 2
Cartesian
2.077 0.000 3.767 As
0.000 2.077 3.767 As
0.000 0.000 0.000 La
2.077 2.077 1.493 Sb
0.000 0.000 6.041 Sb


[4]
SCAN AuCl2, PBEsol geometry; uncorrected formation energy = -230 meV/atom
1.0
3.630 0.000 0.000
1.815 3.434 0.000
1.815 0.000 5.793
Cl Au
2 1
Cartesian
3.630 0.000 1.592 Cl
1.815 0.000 4.201 Cl
1.815 0.000 0.000 Au


Number 1: total DFT energy (no corrections) -1.783 Ry per atom. Number 2: total DFT energy (no corrections) -1.647 Ry per atom. Number 3: total DFT energy (no corrections) -2.334 Ry per atom. Number 4: total DFT energy (no corrections) -2.102 Ry per atom.